Here is a geometry-optimized Ba3Ti2FeO8 structure from Alexandria. Energies are from PBE with a Hubbard U.

a = 5.872 Å, b = 5.872 Å, c = 7.553 Å
α = 90.00°, β = 90.00°, γ = 120.00°
Positions (direct):
Ba 0.000 0.000 0.000
Ba 0.333 0.667 0.651
Ba 0.667 0.333 0.349
Ti 0.333 0.667 0.221
Ti 0.667 0.333 0.779
Fe 0.000 0.000 0.500
O 0.167 0.334 0.320
O 0.167 0.833 0.320
O 0.333 0.667 0.985
O 0.334 0.167 0.680
O 0.666 0.833 0.320
O 0.667 0.333 0.015
O 0.833 0.167 0.680
O 0.833 0.666 0.680

V ... 16.1 A^3/atom
DOS at the Fermi energy ... 5.61 states/eV per cell
Energy ... -7.488 eV per atom
SG ... P-3m1